Entry 1:
SrSiOs: optimized geometry, PBE.

Cell lengths 4.0614, 4.0614, 4.8669 Å; angles 90.00, 90.00, 120.00 degrees
Space group P-6m2 (No. 187)
Symmetry-distinct sites (fractional):
Sr  0.0000  0.0000  0.0000 (multiplicity 1)
Si  0.3333  0.6667  0.5000 (multiplicity 1)
Os  0.6667  0.3333  0.5000 (multiplicity 1)

Computed properties:
- Uncorrected formation energy: -0.2258 eV per atom
- Total moment: 0.00 μB/atom
- Density: 7.307 g/cm³

=====

Entry 2:
SrSiOs2: optimized geometry, PBE.

Cell lengths 4.467, 4.467, 3.416 Å; angles 90.00, 90.00, 90.00 degrees
Space group P4/mmm (No. 123)
Symmetry-distinct sites (fractional):
Sr  0.000  0.000  0.000 (multiplicity 1)
Si  0.500  0.500  0.000 (multiplicity 1)
Os  0.000  0.500  0.500 (multiplicity 2)

Computed properties:
- Uncorrected formation energy: 0.9529 eV per atom
- Total moment: 0.00 μB/atom
- Density: 12.086 g/cm³

=====

Entry 3:
SrSiOs2: optimized geometry, PBE.

Cell lengths 3.000, 3.812, 6.678 Å; angles 90.00, 100.88, 90.00 degrees
Space group P2/m (No. 10)
Symmetry-distinct sites (fractional):
Sr  0.000  0.000  0.000 (multiplicity 1)
Si  0.000  0.000  0.500 (multiplicity 1)
Os  0.359  0.500  0.674 (multiplicity 2)

Computed properties:
- Uncorrected formation energy: 0.4323 eV per atom
- Total moment: 0.00 μB/atom
- Density: 10.985 g/cm³